(one)
Density functional theory data (PBE-GGA) for a geometry-optimized ScCd2Si2 structure.

Output
**N(E_F)**: 5.259 states/eV per cell
**V**: 203 Å³ per cell

a b c (Å): 6.9972 6.9972 4.1507
angles (deg): 90.00 90.00 90.00
Positions (direct):
Sc: 0.0000 0.0000 0.0000
Sc: 0.5000 0.5000 0.0000
Cd: 0.1849 0.3151 0.5000
Cd: 0.3151 0.8151 0.5000
Cd: 0.6849 0.1849 0.5000
Cd: 0.8151 0.6849 0.5000
Si: 0.1201 0.6201 0.0000
Si: 0.3799 0.1201 0.0000
Si: 0.6201 0.8799 0.0000
Si: 0.8799 0.3799 0.0000

***

(two)
Density functional theory data (PBE-GGA) for a geometry-optimized ScCd2Si2 structure.

Output
**N(E_F)**: 5.273 states/eV per cell
**V**: 210 Å³ per cell

a b c (Å): 3.4315 3.4315 17.8094
angles (deg): 90.00 90.00 90.00
Positions (direct):
Sc: 0.0000 0.0000 0.0000
Sc: 0.5000 0.5000 0.5000
Cd: 0.0000 0.0000 0.3887
Cd: 0.0000 0.0000 0.6113
Cd: 0.5000 0.5000 0.1113
Cd: 0.5000 0.5000 0.8887
Si: 0.0000 0.5000 0.2500
Si: 0.0000 0.5000 0.7500
Si: 0.5000 0.0000 0.2500
Si: 0.5000 0.0000 0.7500

***

Stability, descending: (one), (two)

***

(one)
Density functional theory data (PBE-GGA) for a geometry-optimized ScCdSi3 structure.

Output
**N(E_F)**: 5.585 states/eV per cell
**V**: 130 Å³ per cell

a b c (Å): 5.0672 5.0672 5.0672
angles (deg): 90.00 90.00 90.00
Positions (direct):
Sc: 0.0000 0.0000 0.0000
Cd: 0.5000 0.5000 0.5000
Si: 0.0000 0.0000 0.5000
Si: 0.0000 0.5000 0.0000
Si: 0.5000 0.0000 0.0000

***

(two)
Density functional theory data (PBE-GGA) for a geometry-optimized ScCdSi3 structure.

Output
**N(E_F)**: 3.424 states/eV per cell
**V**: 121 Å³ per cell

a b c (Å): 4.9522 4.9522 4.9522
angles (deg): 90.00 90.00 90.00
Positions (direct):
Sc: 0.0000 0.0000 0.0000
Cd: 0.5000 0.5000 0.5000
Si: 0.0000 0.5000 0.5000
Si: 0.5000 0.0000 0.5000
Si: 0.5000 0.5000 0.0000

***

Stability, descending: (one), (two)

***

(one)
Density functional theory data (PBE-GGA) for a geometry-optimized SmScCd4 structure.

Output
**N(E_F)**: 6.155 states/eV per cell
**V**: 142 Å³ per cell

a b c (Å): 5.8590 5.8590 5.8590
angles (deg): 60.00 60.00 60.00
Positions (direct):
Sm: 0.0000 0.0000 0.0000
Sc: 0.7500 0.7500 0.7500
Cd: 0.3752 0.3752 0.3752
Cd: 0.3752 0.3752 0.8745
Cd: 0.3752 0.8745 0.3752
Cd: 0.8745 0.3752 0.3752

***

(two)
Density functional theory data (PBE-GGA) for a geometry-optimized SmScCd4 structure.

Output
**N(E_F)**: 4.421 states/eV per cell
**V**: 142 Å³ per cell

a b c (Å): 3.3005 4.9697 8.6530
angles (deg): 90.00 90.10 90.00
Positions (direct):
Sm: 0.0000 0.0000 0.0000
Sc: 0.0000 0.5000 0.5000
Cd: 0.4976 0.0000 0.6601
Cd: 0.4983 0.5000 0.8247
Cd: 0.5024 0.0000 0.3399
Cd: 0.5017 0.5000 0.1753

***

Stability, descending: (two), (one)

***

(one)
Density functional theory data (PBE-GGA) for a geometry-optimized Sm6ScCd structure.

Output
**N(E_F)**: 11.662 states/eV per cell
**V**: 245 Å³ per cell

a b c (Å): 4.9408 4.9408 10.0522
angles (deg): 90.00 90.00 90.00
Positions (direct):
Sm: 0.0000 0.0000 0.0000
Sm: 0.0000 0.0000 0.5000
Sm: 0.0000 0.5000 0.2493
Sm: 0.0000 0.5000 0.7507
Sm: 0.5000 0.0000 0.2493
Sm: 0.5000 0.0000 0.7507
Sc: 0.5000 0.5000 0.5000
Cd: 0.5000 0.5000 0.0000

***

(two)
Density functional theory data (PBE-GGA) for a geometry-optimized Sm6ScCd structure.

Output
**N(E_F)**: 12.679 states/eV per cell
**V**: 296 Å³ per cell

a b c (Å): 6.4938 6.4957 8.9158
angles (deg): 90.07 111.22 119.94
Positions (direct):
Sm: 0.0195 0.4544 0.2059
Sm: 0.2489 0.0643 0.2055
Sm: 0.3615 0.3160 0.7951
Sm: 0.6385 0.6840 0.2049
Sm: 0.7511 0.9357 0.7945
Sm: 0.9805 0.5456 0.7941
Sc: 0.5000 0.0000 0.0000
Cd: 0.5000 0.5000 0.5000

***

Stability, descending: (one), (two)

***

(one)
Density functional theory data (PBE-GGA) for a geometry-optimized TbSmScCd structure.

Output
**N(E_F)**: 11.351 states/eV per cell
**V**: 225 Å³ per cell

a b c (Å): 3.4310 3.3860 19.3862
angles (deg): 90.00 90.00 90.00
Positions (direct):
Tb: 0.0000 0.0000 0.0000
Tb: 0.0000 0.5000 0.5000
Sm: 0.5000 0.0000 0.1618
Sm: 0.5000 0.5000 0.6618
Sc: 0.5000 0.0000 0.3781
Sc: 0.5000 0.5000 0.8781
Cd: 0.0000 0.0000 0.7792
Cd: 0.0000 0.5000 0.2792

***

(two)
Density functional theory data (PBE-GGA) for a geometry-optimized TbSmScCd structure.

Output
**N(E_F)**: 20.778 states/eV per cell
**V**: 441 Å³ per cell

a b c (Å): 7.6128 7.6128 7.6128
angles (deg): 90.00 90.00 90.00
Positions (direct):
Tb: 0.0000 0.0000 0.0000
Tb: 0.0000 0.5000 0.5000
Tb: 0.5000 0.0000 0.5000
Tb: 0.5000 0.5000 0.0000
Sm: 0.0000 0.0000 0.5000
Sm: 0.0000 0.5000 0.0000
Sm: 0.5000 0.0000 0.0000
Sm: 0.5000 0.5000 0.5000
Sc: 0.2500 0.2500 0.7500
Sc: 0.2500 0.7500 0.2500
Sc: 0.7500 0.2500 0.2500
Sc: 0.7500 0.7500 0.7500
Cd: 0.2500 0.2500 0.2500
Cd: 0.2500 0.7500 0.7500
Cd: 0.7500 0.2500 0.7500
Cd: 0.7500 0.7500 0.2500

***

Stability, descending: (two), (one)

***

(one)
Density functional theory data (PBE-GGA) for a geometry-optimized SmTmScCd structure.

Output
**N(E_F)**: 20.152 states/eV per cell
**V**: 433 Å³ per cell

a b c (Å): 7.5667 7.5667 7.5667
angles (deg): 90.00 90.00 90.00
Positions (direct):
Sm: 0.0000 0.0000 0.0000
Sm: 0.0000 0.5000 0.5000
Sm: 0.5000 0.0000 0.5000
Sm: 0.5000 0.5000 0.0000
Tm: 0.0000 0.0000 0.5000
Tm: 0.0000 0.5000 0.0000
Tm: 0.5000 0.0000 0.0000
Tm: 0.5000 0.5000 0.5000
Sc: 0.2500 0.2500 0.2500
Sc: 0.2500 0.7500 0.7500
Sc: 0.7500 0.2500 0.7500
Sc: 0.7500 0.7500 0.2500
Cd: 0.2500 0.2500 0.7500
Cd: 0.2500 0.7500 0.2500
Cd: 0.7500 0.2500 0.2500
Cd: 0.7500 0.7500 0.7500

***

(two)
Density functional theory data (PBE-GGA) for a geometry-optimized SmTmScCd structure.

Output
**N(E_F)**: 5.993 states/eV per cell
**V**: 110 Å³ per cell

a b c (Å): 3.5604 3.5604 8.6852
angles (deg): 90.00 90.00 90.00
Positions (direct):
Sm: 0.0000 0.0000 0.0000
Tm: 0.0000 0.0000 0.5170
Sc: 0.5000 0.5000 0.2642
Cd: 0.5000 0.5000 0.7476

***

Stability, descending: (two), (one)